(1)
KSn4Sb: optimized geometry, PBE.

Results
- Uncorrected energy: -3.573 eV/atom
- ΔE_f (raw): -3.35 kJ per mole of atoms
- Size of the total moment: 0.000 μB per atom

Lattice parameters (Å, degrees): 5.431 6.462 11.210 90.00 90.38 90.00
Sites, in units of the cell vectors:
K: 0.000 0.000 0.000
K: 0.000 0.500 0.500
Sn: 0.000 0.001 0.328
Sn: 0.000 0.499 0.828
Sn: 0.000 0.501 0.172
Sn: 0.000 0.999 0.672
Sn: 0.500 0.249 0.750
Sn: 0.500 0.251 0.250
Sn: 0.500 0.749 0.750
Sn: 0.500 0.751 0.250
Sb: 0.500 0.000 0.500
Sb: 0.500 0.500 0.000

(2)
K3Sn2Sb4: optimized geometry, PBE.

Results
- Excess energy over the best structure of this formula in the dataset: 0.045 eV/atom
- Uncorrected energy: -3.320 eV/atom
- ΔE_f (raw): -22.47 kJ per mole of atoms
- Size of the total moment: 0.000 μB per atom

Lattice parameters (Å, degrees): 9.959 9.959 7.390 92.92 92.92 72.92
Sites, in units of the cell vectors:
K: 0.078 0.922 0.750
K: 0.277 0.516 0.017
K: 0.484 0.723 0.483
K: 0.516 0.277 0.517
K: 0.723 0.484 0.983
K: 0.922 0.078 0.250
Sn: 0.102 0.331 0.601
Sn: 0.331 0.102 0.101
Sn: 0.669 0.898 0.899
Sn: 0.898 0.669 0.399
Sb: 0.068 0.280 0.972
Sb: 0.190 0.571 0.517
Sb: 0.280 0.068 0.472
Sb: 0.429 0.810 0.983
Sb: 0.571 0.190 0.017
Sb: 0.720 0.932 0.528
Sb: 0.810 0.429 0.483
Sb: 0.932 0.720 0.028

(3)
KSnSb3: optimized geometry, PBE.

Results
- Excess energy over the best structure of this formula in the dataset: 0.000 eV/atom
- Uncorrected energy: -3.577 eV/atom
- ΔE_f (raw): -8.06 kJ per mole of atoms
- Size of the total moment: 0.000 μB per atom

Lattice parameters (Å, degrees): 7.145 7.145 8.242 90.00 90.00 120.00
Sites, in units of the cell vectors:
K: 0.333 0.667 0.250
K: 0.667 0.333 0.750
Sn: 0.000 0.000 0.000
Sn: 0.000 0.000 0.500
Sb: 0.195 0.389 0.750
Sb: 0.195 0.805 0.750
Sb: 0.389 0.195 0.250
Sb: 0.611 0.805 0.750
Sb: 0.805 0.195 0.250
Sb: 0.805 0.611 0.250

(4)
KSnSb: optimized geometry, PBE.

Results
- Excess energy over the best structure of this formula in the dataset: 0.106 eV/atom
- Uncorrected energy: -3.314 eV/atom
- ΔE_f (raw): -23.16 kJ per mole of atoms
- Size of the total moment: 0.000 μB per atom

Lattice parameters (Å, degrees): 8.112 5.434 10.406 90.00 90.00 90.00
Sites, in units of the cell vectors:
K: 0.131 0.250 0.164
K: 0.369 0.750 0.664
K: 0.631 0.250 0.336
K: 0.869 0.750 0.836
Sn: 0.004 0.750 0.416
Sn: 0.496 0.250 0.916
Sn: 0.504 0.750 0.084
Sn: 0.996 0.250 0.584
Sb: 0.155 0.250 0.831
Sb: 0.345 0.750 0.331
Sb: 0.655 0.250 0.669
Sb: 0.845 0.750 0.169

(5)
KSn3Sb3: optimized geometry, PBE.

Results
- Excess energy over the best structure of this formula in the dataset: 0.036 eV/atom
- Uncorrected energy: -3.694 eV/atom
- ΔE_f (raw): -5.29 kJ per mole of atoms
- Size of the total moment: 0.000 μB per atom

Lattice parameters (Å, degrees): 10.067 10.067 5.981 90.00 90.00 120.00
Sites, in units of the cell vectors:
K: 0.333 0.667 0.250
K: 0.667 0.333 0.750
Sn: 0.036 0.368 0.750
Sn: 0.332 0.964 0.750
Sn: 0.368 0.332 0.250
Sn: 0.632 0.668 0.750
Sn: 0.668 0.036 0.250
Sn: 0.964 0.632 0.250
Sb: 0.050 0.670 0.750
Sb: 0.330 0.380 0.750
Sb: 0.380 0.050 0.250
Sb: 0.620 0.950 0.750
Sb: 0.670 0.620 0.250
Sb: 0.950 0.330 0.250

(6)
K2TcSnSb: optimized geometry, PBE.

Results
- Uncorrected energy: -3.371 eV/atom
- ΔE_f (raw): 73.95 kJ per mole of atoms
- Size of the total moment: 0.642 μB per atom

Lattice parameters (Å, degrees): 6.218 6.218 5.094 90.00 90.00 90.00
Sites, in units of the cell vectors:
K: 0.000 0.500 0.000
K: 0.500 0.000 0.000
Tc: 0.000 0.000 0.000
Sn: 0.500 0.500 0.500
Sb: 0.000 0.000 0.500

(7)
KSnSbTe2: optimized geometry, PBE.

Results
- Excess energy over the best structure of this formula in the dataset: 0.872 eV/atom
- Uncorrected energy: -2.214 eV/atom
- ΔE_f (raw): 85.56 kJ per mole of atoms
- Size of the total moment: 0.000 μB per atom

Lattice parameters (Å, degrees): 5.977 5.977 5.694 90.00 90.00 90.00
Sites, in units of the cell vectors:
K: 0.000 0.000 0.000
Sn: 0.500 0.500 0.500
Sb: 0.000 0.000 0.500
Te: 0.000 0.500 0.000
Te: 0.500 0.000 0.000

(8)
KSnSbTe2: optimized geometry, PBE.

Results
- Excess energy over the best structure of this formula in the dataset: 0.000 eV/atom
- Uncorrected energy: -3.086 eV/atom
- ΔE_f (raw): 1.46 kJ per mole of atoms
- Size of the total moment: 0.181 μB per atom

Lattice parameters (Å, degrees): 5.919 5.919 5.703 90.00 90.00 90.00
Sites, in units of the cell vectors:
K: 0.000 0.000 0.000
Sn: 0.500 0.500 0.500
Sb: 0.500 0.500 0.000
Te: 0.000 0.500 0.500
Te: 0.500 0.000 0.500

(9)
K2SnSbTe: optimized geometry, PBE.

Results
- Uncorrected energy: -2.493 eV/atom
- ΔE_f (raw): 19.21 kJ per mole of atoms
- Size of the total moment: 0.475 μB per atom

Lattice parameters (Å, degrees): 6.708 6.708 5.761 90.00 90.00 90.00
Sites, in units of the cell vectors:
K: 0.000 0.500 0.000
K: 0.500 0.000 0.000
Sn: 0.000 0.000 0.500
Sb: 0.500 0.500 0.000
Te: 0.500 0.500 0.500

(10)
K4Tl2SnSb2: optimized geometry, PBE.

Results
- Uncorrected energy: -2.475 eV/atom
- ΔE_f (raw): -9.72 kJ per mole of atoms
- Size of the total moment: 0.000 μB per atom

Lattice parameters (Å, degrees): 7.283 7.283 8.223 112.84 112.84 63.20
Sites, in units of the cell vectors:
K: 0.109 0.609 0.765
K: 0.391 0.891 0.235
K: 0.609 0.109 0.765
K: 0.891 0.391 0.235
Tl: 0.094 0.094 0.724
Tl: 0.906 0.906 0.276
Sn: 0.500 0.500 0.500
Sb: 0.343 0.343 0.117
Sb: 0.657 0.657 0.883

(11)
KTl2SnSb2: optimized geometry, PBE.

Results
- Uncorrected energy: -3.154 eV/atom
- ΔE_f (raw): -13.58 kJ per mole of atoms
- Size of the total moment: 0.000 μB per atom

Lattice parameters (Å, degrees): 5.316 9.460 8.012 90.00 90.00 90.00
Sites, in units of the cell vectors:
K: 0.000 0.062 0.000
K: 0.000 0.938 0.500
Tl: 0.000 0.327 0.337
Tl: 0.000 0.673 0.837
Tl: 0.500 0.432 0.032
Tl: 0.500 0.568 0.532
Sn: 0.500 0.184 0.659
Sn: 0.500 0.816 0.159
Sb: 0.000 0.347 0.727
Sb: 0.000 0.653 0.227
Sb: 0.500 0.133 0.285
Sb: 0.500 0.867 0.785

(12)
K2TlSnSb2: optimized geometry, PBE.

Results
- Uncorrected energy: -3.078 eV/atom
- ΔE_f (raw): -26.66 kJ per mole of atoms
- Size of the total moment: 0.000 μB per atom

Lattice parameters (Å, degrees): 9.444 9.444 9.444 130.68 71.35 131.90
Sites, in units of the cell vectors:
K: 0.166 0.246 0.413
K: 0.334 0.746 0.080
K: 0.666 0.254 0.920
K: 0.834 0.754 0.587
Tl: 0.250 0.250 0.000
Tl: 0.750 0.750 0.000
Sn: 0.250 0.750 0.500
Sn: 0.750 0.250 0.500
Sb: 0.099 0.724 0.823
Sb: 0.401 0.224 0.625
Sb: 0.599 0.776 0.375
Sb: 0.901 0.276 0.177

(13)
K2SnSbW: optimized geometry, PBE.

Results
- Uncorrected energy: -3.678 eV/atom
- ΔE_f (raw): 94.27 kJ per mole of atoms
- Size of the total moment: 0.386 μB per atom

Lattice parameters (Å, degrees): 6.500 6.500 5.171 90.00 90.00 90.00
Sites, in units of the cell vectors:
K: 0.000 0.500 0.000
K: 0.500 0.000 0.000
Sn: 0.000 0.000 0.500
Sb: 0.500 0.500 0.000
W: 0.500 0.500 0.500

(14)
KZnSnSb2: optimized geometry, PBE.

Results
- Uncorrected energy: -3.085 eV/atom
- ΔE_f (raw): -15.53 kJ per mole of atoms
- Size of the total moment: 0.000 μB per atom

Lattice parameters (Å, degrees): 8.888 8.888 11.374 125.59 125.59 29.84
Sites, in units of the cell vectors:
K: 0.173 0.173 0.095
K: 0.827 0.827 0.905
Zn: 0.039 0.039 0.646
Zn: 0.961 0.961 0.354
Sn: 0.361 0.361 0.593
Sn: 0.639 0.639 0.407
Sb: 0.183 0.183 0.601
Sb: 0.429 0.429 0.204
Sb: 0.571 0.571 0.796
Sb: 0.817 0.817 0.399

(15)
KZnSn2Sb: optimized geometry, PBE.

Results
- Uncorrected energy: -2.648 eV/atom
- ΔE_f (raw): 24.30 kJ per mole of atoms
- Size of the total moment: 0.000 μB per atom

Lattice parameters (Å, degrees): 5.264 5.264 5.605 90.00 90.00 90.00
Sites, in units of the cell vectors:
K: 0.000 0.000 0.000
Zn: 0.000 0.000 0.500
Sn: 0.000 0.500 0.500
Sn: 0.500 0.000 0.500
Sb: 0.500 0.500 0.000

(16)
KZr2SnSb: optimized geometry, PBE.

Results
- Uncorrected energy: -4.569 eV/atom
- ΔE_f (raw): 67.07 kJ per mole of atoms
- Size of the total moment: 0.275 μB per atom

Lattice parameters (Å, degrees): 5.426 5.426 5.798 90.00 90.00 90.00
Sites, in units of the cell vectors:
K: 0.000 0.000 0.000
Zr: 0.000 0.500 0.500
Zr: 0.500 0.000 0.500
Sn: 0.000 0.000 0.500
Sb: 0.500 0.500 0.000

(17)
K3SrSb: optimized geometry, PBE.

Results
- Excess energy over the best structure of this formula in the dataset: 0.000 eV/atom
- Uncorrected energy: -1.874 eV/atom
- ΔE_f (raw): -5.29 kJ per mole of atoms
- Size of the total moment: 0.000 μB per atom

Lattice parameters (Å, degrees): 6.794 6.794 6.794 90.00 90.00 90.00
Sites, in units of the cell vectors:
K: 0.000 0.000 0.500
K: 0.000 0.500 0.000
K: 0.500 0.000 0.000
Sr: 0.500 0.500 0.500
Sb: 0.000 0.000 0.000

(18)
KSrSb2: optimized geometry, PBE.

Results
- Excess energy over the best structure of this formula in the dataset: 0.201 eV/atom
- Uncorrected energy: -3.207 eV/atom
- ΔE_f (raw): -43.50 kJ per mole of atoms
- Size of the total moment: 0.000 μB per atom

Lattice parameters (Å, degrees): 5.770 5.770 5.770 60.00 60.00 60.00
Sites, in units of the cell vectors:
K: 0.000 0.000 0.000
Sr: 0.500 0.500 0.500
Sb: 0.250 0.250 0.250
Sb: 0.750 0.750 0.750

(19)
KSrSb2: optimized geometry, PBE.

Results
- Excess energy over the best structure of this formula in the dataset: 0.136 eV/atom
- Uncorrected energy: -3.272 eV/atom
- ΔE_f (raw): -49.79 kJ per mole of atoms
- Size of the total moment: 0.000 μB per atom

Lattice parameters (Å, degrees): 6.858 6.858 5.503 110.27 110.27 35.15
Sites, in units of the cell vectors:
K: 0.000 0.000 0.000
Sr: 0.220 0.220 0.662
Sb: 0.442 0.442 0.455
Sb: 0.760 0.760 0.191

(20)
K3SrSb: optimized geometry, PBE.

Results
- Excess energy over the best structure of this formula in the dataset: 0.744 eV/atom
- Uncorrected energy: -1.131 eV/atom
- ΔE_f (raw): 66.46 kJ per mole of atoms
- Size of the total moment: 0.000 μB per atom

Lattice parameters (Å, degrees): 6.974 6.974 6.974 90.00 90.00 90.00
Sites, in units of the cell vectors:
K: 0.000 0.000 0.500
K: 0.000 0.500 0.000
K: 0.500 0.000 0.000
Sr: 0.000 0.000 0.000
Sb: 0.500 0.500 0.500